# InCo15 PBE optimized geometry
data_InCo15
_chemical_formula_sum 'In2 Co30'
_cell_length_a 6.865
_cell_length_b 2.531
_cell_length_c 28.632
_cell_angle_alpha 90.00
_cell_angle_beta 90.02
_cell_angle_gamma 90.00
_space_group_name_H-M_alt 'P 1'
_space_group_IT_number 1
loop_
_space_group_symop_operation_xyz
'x,y,z'
loop_
_atom_site_label
_atom_site_fract_x
_atom_site_fract_y
_atom_site_fract_z
In1 0.125 0.250 0.343
In2 0.875 0.750 0.657
Co1 0.123 0.250 0.805
Co2 0.125 0.250 0.065
Co3 0.125 0.250 0.152
Co4 0.125 0.250 0.239
Co5 0.125 0.250 0.892
Co6 0.125 0.250 0.978
Co7 0.130 0.250 0.719
Co8 0.373 0.750 0.195
Co9 0.375 0.750 0.022
Co10 0.375 0.750 0.108
Co11 0.375 0.750 0.678
Co12 0.375 0.750 0.762
Co13 0.375 0.750 0.849
Co14 0.375 0.750 0.935
Co15 0.381 0.750 0.281
Co16 0.619 0.250 0.719
Co17 0.625 0.250 0.065
Co18 0.625 0.250 0.151
Co19 0.625 0.250 0.238
Co20 0.625 0.250 0.322
Co21 0.625 0.250 0.892
Co22 0.625 0.250 0.978
Co23 0.627 0.250 0.805
Co24 0.870 0.750 0.281
Co25 0.875 0.750 0.022
Co26 0.875 0.750 0.108
Co27 0.875 0.750 0.761
Co28 0.875 0.750 0.848
Co29 0.875 0.750 0.935
Co30 0.877 0.750 0.195
# Space-group type: P2_1/m, No. 11
# V, Å³ per atom: 15.55
# Spin magnetization, Bohr magnetons per cell: 48.82
# Final energy, eV per atom: -6.68
# Energy relative to the lowest polymorph listed for this composition, meV per atom: 123